{
  "formula": "MgZnSiIr2",
  "functional": "GGA-PBE",
  "state": "optimized geometry",
  "cell": [[-0.542, -4.438, -0.978], [1.680, 0.691, -4.068], [4.204, -0.864, 1.590]],
  "species": ["Mg", "Zn", "Ir", "Si", "Ir"],
  "frac_coords": [[0.000, 0.500, 0.000], [0.000, 0.000, 0.000], [0.500, 0.000, 0.000], [0.500, 0.500, 0.500], [0.000, 0.000, 0.500]],
  "raw_formation_energy_mev_per_atom": 995,
  "crystal_system": "tetragonal",
  "m_tot_mub_per_atom": 0.0000,
  "dft_energy_ev_per_atom": -4.21
}

=====

{
  "formula": "Y2RePb",
  "functional": "GGA-PBE",
  "state": "optimized geometry",
  "cell": [[6.536, 0.073, -0.007], [3.638, 5.430, 0.007], [-4.593, -3.664, 2.863]],
  "species": ["Y", "Re", "Pb", "Y"],
  "frac_coords": [[0.047, 0.047, 0.000], [0.252, 0.752, 0.500], [0.449, 0.449, 0.000], [0.752, 0.252, 0.500]],
  "crystal_system": "orthorhombic",
  "ef_kcal_per_mol_atoms": 2.223,
  "m_tot_mub_per_atom": 0.0000,
  "dft_energy_ev_per_atom": -7.17
}

=====

{
  "formula": "RbSr2TlPt",
  "functional": "GGA-PBE",
  "state": "optimized geometry",
  "cell": [[-2.050, -2.729, 4.992], [-1.671, -4.783, -3.301], [4.908, -2.255, 0.783]],
  "species": ["Sr", "Pt", "Sr", "Tl", "Rb"],
  "frac_coords": [[0.500, 0.000, 0.000], [0.000, 0.000, 0.000], [0.000, 0.500, 0.000], [0.000, 0.000, 0.500], [0.500, 0.500, 0.500]],
  "crystal_system": "tetragonal",
  "ef_kcal_per_mol_atoms": -6.874,
  "m_tot_mub_per_atom": 0.0365,
  "dft_energy_ev_per_atom": -2.85
}

=====

{
  "formula": "CePu3Ru3",
  "functional": "GGA-PBE",
  "state": "optimized geometry",
  "cell": [[-4.675, 0.521, 4.338], [-6.113, 0.159, -1.887], [-3.940, -7.048, 1.319]],
  "species": ["Pu", "Pu", "Ce", "Ru", "Ru", "Pu", "Ru", "Ru", "Pu", "Pu", "Pu", "Ce", "Ru", "Ru"],
  "frac_coords": [[0.475, 0.802, 0.580], [0.802, 0.142, 0.580], [0.667, 0.667, 0.999], [0.947, 0.197, 0.168], [0.803, 0.311, 0.832], [0.858, 0.525, 0.420], [0.053, 0.803, 0.832], [0.311, 0.053, 0.832], [0.525, 0.198, 0.420], [0.198, 0.858, 0.420], [0.142, 0.475, 0.580], [0.333, 0.333, 0.001], [0.689, 0.947, 0.168], [0.197, 0.689, 0.168]],
  "crystal_system": "trigonal",
  "ef_kcal_per_mol_atoms": -0.085,
  "m_tot_mub_per_atom": 0.0001,
  "dft_energy_ev_per_atom": -10.97
}

=====

{
  "formula": "CeTh3In",
  "functional": "GGA-PBE",
  "state": "optimized geometry",
  "cell": [[-1.488, -4.639, -0.652], [2.168, -0.078, -4.389], [9.822, -6.452, 4.965]],
  "species": ["Th", "Th", "Th", "Th", "Ce", "Ce", "Th", "Th", "In", "In"],
  "frac_coords": [[0.075, 0.750, 0.499], [0.271, 0.750, 0.107], [0.771, 0.250, 0.105], [0.574, 0.250, 0.501], [0.172, 0.250, 0.304], [0.476, 0.750, 0.696], [0.378, 0.250, 0.893], [0.877, 0.750, 0.895], [0.976, 0.250, 0.697], [0.673, 0.750, 0.303]],
  "crystal_system": "orthorhombic",
  "ef_kcal_per_mol_atoms": -2.300,
  "m_tot_mub_per_atom": 0.1359,
  "polymorph_energy_ev_per_fu": 0.00,
  "dft_energy_ev_per_atom": -6.29
}

=====

{
  "formula": "Cd4TePb",
  "functional": "GGA-PBE",
  "state": "optimized geometry",
  "cell": [[0.000, 4.280, 4.280], [4.280, 0.000, 4.280], [4.280, 4.280, 0.000]],
  "species": ["Cd", "Cd", "Pb", "Te", "Cd", "Cd"],
  "frac_coords": [[0.875, 0.375, 0.375], [0.375, 0.875, 0.375], [0.750, 0.750, 0.750], [0.000, 0.000, 0.000], [0.375, 0.375, 0.875], [0.375, 0.375, 0.375]],
  "raw_formation_energy_mev_per_atom": 94,
  "crystal_system": "cubic",
  "m_tot_mub_per_atom": 0.0000,
  "dft_energy_ev_per_atom": -1.66
}